Below is a relaxed structure of BeCoSi2O6, with properties calculated at the PBE with a Hubbard U level.

abc: 7.488 7.488 5.242
angles: 110.45 110.45 92.12
Atoms (fractional coordinates):
Be  0.249  0.751  0.750
Be  0.751  0.249  0.250
Co  0.249  0.751  0.250
Co  0.751  0.249  0.750
Si  0.166  0.337  0.277
Si  0.337  0.166  0.777
Si  0.663  0.834  0.223
Si  0.834  0.663  0.723
O  0.069  0.732  0.855
O  0.229  0.275  0.995
O  0.229  0.572  0.446
O  0.268  0.931  0.645
O  0.275  0.229  0.495
O  0.428  0.771  0.054
O  0.572  0.229  0.946
O  0.725  0.771  0.505
O  0.732  0.069  0.355
O  0.771  0.428  0.554
O  0.771  0.725  0.005
O  0.931  0.268  0.145

Values from the calculation:
For the total energy, the calculation gives -7.389 eV/atom. The value obtained for the density of states at the Fermi level is 0.000 states/eV per atom.